1.
Computed, not measured: a relaxed NaAg3Te4Pd crystal at the PBE-GGA level of DFT.

Values from the calculation:
Volume = 283.09 Å³/cell
Final energy = -0.2338 Ry per atom

Structure (CIF):
```
data_NaAg3Te4Pd
_space_group_name_H-M_alt 'P -4 3 m'
_space_group_IT_number 215
_space_group_name_Hall 'P -4 2 3'
_cell_length_a 6.5661
_cell_length_b 6.5661
_cell_length_c 6.5661
_cell_angle_alpha 90.00
_cell_angle_beta 90.00
_cell_angle_gamma 90.00
loop_
_atom_site_label
_atom_site_type_symbol
_atom_site_fract_x
_atom_site_fract_y
_atom_site_fract_z
Na1 Na 0.0000 0.0000 0.0000
Ag1 Ag 0.0000 0.5000 0.5000
Te1 Te 0.2653 0.2653 0.2653
Pd1 Pd 0.5000 0.5000 0.5000
```

---

2.
Computed, not measured: a relaxed Ag2PtF6 crystal at the PBE-GGA level of DFT.

Values from the calculation:
Total moment = 0.001 μB/f.u.
Volume = 266.10 Å³/cell
Final energy = -0.2789 Ry per atom

Structure (CIF):
```
data_Ag2PtF6
_space_group_name_H-M_alt 'P 42/m n m'
_space_group_IT_number 136
_space_group_name_Hall '-P 4n 2n'
_cell_length_a 5.0306
_cell_length_b 5.0306
_cell_length_c 10.5148
_cell_angle_alpha 90.00
_cell_angle_beta 90.00
_cell_angle_gamma 90.00
loop_
_atom_site_label
_atom_site_type_symbol
_atom_site_fract_x
_atom_site_fract_y
_atom_site_fract_z
Ag1 Ag 0.0000 0.0000 0.1660
Pt1 Pt 0.0000 0.0000 0.5000
F1 F 0.1823 0.1823 0.3573
F2 F 0.2223 0.2223 0.0000
```

---

3.
Computed, not measured: a relaxed NaSrCo crystal at the PBE-GGA level of DFT.

Values from the calculation:
Total moment = 0.001 μB/f.u.
Volume = 380.73 Å³/cell
Distance to the lowest polymorph of the same formula = 0.3962 eV per atom
Final energy = -0.1641 Ry per atom

Structure (CIF):
```
data_NaSrCo
_space_group_name_H-M_alt 'F -4 3 m'
_space_group_IT_number 216
_space_group_name_Hall 'F -4 2 3'
_cell_length_a 7.2478
_cell_length_b 7.2478
_cell_length_c 7.2478
_cell_angle_alpha 90.00
_cell_angle_beta 90.00
_cell_angle_gamma 90.00
loop_
_atom_site_label
_atom_site_type_symbol
_atom_site_fract_x
_atom_site_fract_y
_atom_site_fract_z
Na1 Na 0.0000 0.0000 0.0000
Sr1 Sr 0.2500 0.2500 0.7500
Co1 Co 0.0000 0.0000 0.5000
```

---

4.
Computed, not measured: a relaxed Nd2Sm2Br5N crystal at the PBE-GGA level of DFT.

Values from the calculation:
Total moment = 0.005 μB/f.u.
Volume = 564.69 Å³/cell
Final energy = -0.3816 Ry per atom

Structure (CIF):
```
data_Nd2Sm2Br5N
_space_group_name_H-M_alt 'C 1 2/m 1'
_space_group_IT_number 12
_space_group_name_Hall '-C 2y'
_cell_length_a 18.0127
_cell_length_b 3.8592
_cell_length_c 8.3526
_cell_angle_alpha 90.00
_cell_angle_beta 103.46
_cell_angle_gamma 90.00
loop_
_atom_site_label
_atom_site_type_symbol
_atom_site_fract_x
_atom_site_fract_y
_atom_site_fract_z
Nd1 Nd 0.0012 0.0000 0.2972
Sm1 Sm 0.1375 0.5000 0.5719
Br1 Br 0.0000 0.5000 0.0000
Br2 Br 0.1661 0.0000 0.8410
Br3 Br 0.1723 0.0000 0.3303
N1 N 0.0000 0.5000 0.5000
```